No. 1
# Ba2SrMg, relaxed, DFT PBEsol
data_Ba2SrMg
_symmetry_space_group_name_H-M 'P 4 m m'
_symmetry_Int_Tables_number 99
_symmetry_space_group_name_Hall 'P 4 -2'
_cell_length_a 4.271
_cell_length_b 4.271
_cell_length_c 10.439
_cell_angle_alpha 90.00
_cell_angle_beta 90.00
_cell_angle_gamma 90.00
loop_
_atom_site_label
_atom_site_type_symbol
_atom_site_fract_x
_atom_site_fract_y
_atom_site_fract_z
Ba1 Ba 0.000 0.000 0.000
Ba2 Ba 0.500 0.500 0.317
Sr1 Sr 0.500 0.500 0.704
Mg1 Mg 0.000 0.000 0.521
# - magnetization (μB per atom) = 0.00
# - mass density (g/cm3) = 3.37
# - crystal system = tetragonal
# - ΔE_f (meV/atom) = -12
# - E_tot (eV per atom) = -1.975

***

No. 2
# Ba2SrMg, relaxed, DFT PBEsol
data_Ba2SrMg
_symmetry_space_group_name_H-M 'F -4 3 m'
_symmetry_Int_Tables_number 216
_symmetry_space_group_name_Hall 'F -4 2 3'
_cell_length_a 8.901
_cell_length_b 8.901
_cell_length_c 8.901
_cell_angle_alpha 90.00
_cell_angle_beta 90.00
_cell_angle_gamma 90.00
loop_
_atom_site_label
_atom_site_type_symbol
_atom_site_fract_x
_atom_site_fract_y
_atom_site_fract_z
Ba1 Ba 0.000 0.000 0.000
Ba2 Ba 0.250 0.250 0.250
Sr1 Sr 0.000 0.000 0.500
Mg1 Mg 0.250 0.250 0.750
# - magnetization (μB per atom) = 0.00
# - mass density (g/cm3) = 3.64
# - crystal system = cubic
# - ΔE_f (meV/atom) = 37
# - E_tot (eV per atom) = -1.927

***

No. 3
# Ba2SrMg, relaxed, DFT PBEsol
data_Ba2SrMg
_symmetry_space_group_name_H-M 'P 4/m m m'
_symmetry_Int_Tables_number 123
_symmetry_space_group_name_Hall '-P 4 2'
_cell_length_a 6.265
_cell_length_b 6.265
_cell_length_c 4.727
_cell_angle_alpha 90.00
_cell_angle_beta 90.00
_cell_angle_gamma 90.00
loop_
_atom_site_label
_atom_site_type_symbol
_atom_site_fract_x
_atom_site_fract_y
_atom_site_fract_z
Ba1 Ba 0.000 0.500 0.000
Sr1 Sr 0.000 0.000 0.500
Mg1 Mg 0.500 0.500 0.500
# - magnetization (μB per atom) = 0.00
# - mass density (g/cm3) = 3.46
# - crystal system = tetragonal
# - ΔE_f (meV/atom) = 35
# - E_tot (eV per atom) = -1.929

***

No. 4
# BaSr2Mg2, relaxed, DFT PBEsol
data_BaSr2Mg2
_symmetry_space_group_name_H-M 'P 4/m b m'
_symmetry_Int_Tables_number 127
_symmetry_space_group_name_Hall '-P 4 2ab'
_cell_length_a 9.990
_cell_length_b 9.990
_cell_length_c 3.916
_cell_angle_alpha 90.00
_cell_angle_beta 90.00
_cell_angle_gamma 90.00
loop_
_atom_site_label
_atom_site_type_symbol
_atom_site_fract_x
_atom_site_fract_y
_atom_site_fract_z
Ba1 Ba 0.000 0.000 0.000
Sr1 Sr 0.131 0.369 0.000
Mg1 Mg 0.164 0.664 0.500
# - magnetization (μB per atom) = 0.00
# - mass density (g/cm3) = 3.07
# - crystal system = tetragonal
# - ΔE_f (meV/atom) = -2
# - E_tot (eV per atom) = -1.855

***

No. 5
# Ba2SrMg, relaxed, DFT PBEsol
data_Ba2SrMg
_symmetry_space_group_name_H-M 'C 1 2/m 1'
_symmetry_Int_Tables_number 12
_symmetry_space_group_name_Hall '-C 2y'
_cell_length_a 14.333
_cell_length_b 4.497
_cell_length_c 6.296
_cell_angle_alpha 90.00
_cell_angle_beta 115.98
_cell_angle_gamma 90.00
loop_
_atom_site_label
_atom_site_type_symbol
_atom_site_fract_x
_atom_site_fract_y
_atom_site_fract_z
Ba1 Ba 0.222 0.000 0.222
Sr1 Sr 0.000 0.000 0.500
Mg1 Mg 0.000 0.500 0.000
# - magnetization (μB per atom) = 0.00
# - mass density (g/cm3) = 3.52
# - crystal system = monoclinic
# - ΔE_f (meV/atom) = 32
# - E_tot (eV per atom) = -1.932

***

No. 6
# BaSr2MgW, relaxed, DFT PBEsol
data_BaSr2MgW
_symmetry_space_group_name_H-M 'P 4/m m m'
_symmetry_Int_Tables_number 123
_symmetry_space_group_name_Hall '-P 4 2'
_cell_length_a 6.109
_cell_length_b 6.109
_cell_length_c 5.289
_cell_angle_alpha 90.00
_cell_angle_beta 90.00
_cell_angle_gamma 90.00
loop_
_atom_site_label
_atom_site_type_symbol
_atom_site_fract_x
_atom_site_fract_y
_atom_site_fract_z
Ba1 Ba 0.000 0.000 0.000
Sr1 Sr 0.000 0.500 0.500
Mg1 Mg 0.500 0.500 0.500
W1 W 0.500 0.500 0.000
# - magnetization (μB per atom) = 0.70
# - mass density (g/cm3) = 4.38
# - crystal system = tetragonal
# - ΔE_f (meV/atom) = 1167
# - E_tot (eV per atom) = -3.104

***

Copy entry 5 word for word.
# Ba2SrMg, relaxed, DFT PBEsol
data_Ba2SrMg
_symmetry_space_group_name_H-M 'C 1 2/m 1'
_symmetry_Int_Tables_number 12
_symmetry_space_group_name_Hall '-C 2y'
_cell_length_a 14.333
_cell_length_b 4.497
_cell_length_c 6.296
_cell_angle_alpha 90.00
_cell_angle_beta 115.98
_cell_angle_gamma 90.00
loop_
_atom_site_label
_atom_site_type_symbol
_atom_site_fract_x
_atom_site_fract_y
_atom_site_fract_z
Ba1 Ba 0.222 0.000 0.222
Sr1 Sr 0.000 0.000 0.500
Mg1 Mg 0.000 0.500 0.000
# - magnetization (μB per atom) = 0.00
# - mass density (g/cm3) = 3.52
# - crystal system = monoclinic
# - ΔE_f (meV/atom) = 32
# - E_tot (eV per atom) = -1.932